Y3Ho4In2 | PBE | relaxed

a = 6.8012 Å, b = 6.8012 Å, c = 8.3765 Å
α = 104.11°, β = 104.11°, γ = 45.64°
Closest atoms and distances in Å follow each position.
Sites, in units of the cell vectors:
Y: 0.0000 0.0000 0.0000  2 In 3.23, 6 Ho 3.45-3.59
Y: 0.4234 0.4234 0.6544  3 In 3.18-3.32, 1 Ho 3.47
Y: 0.5766 0.5766 0.3456  3 In 3.18-3.32, 1 Ho 3.47
Ho: 0.1221 0.1221 0.6574  3 In 3.33-3.34, 4 Ho 3.47-3.62, 5 Y 3.59-3.65
Ho: 0.3300 0.3300 0.0351  1 In 3.09, 2 Ho 3.27, 2 Y 3.45
Ho: 0.6700 0.6700 0.9649  1 In 3.09, 2 Ho 3.27, 2 Y 3.45
Ho: 0.8779 0.8779 0.3426  3 In 3.33-3.34, 4 Ho 3.47-3.62, 5 Y 3.59-3.65
In: 0.2127 0.2127 0.3170  4 Ho 3.09-3.34, 4 Y 3.18-3.32
In: 0.7873 0.7873 0.6830  4 Ho 3.09-3.34, 4 Y 3.18-3.32

Output
D(E_F) (states/eV per atom): 1.099
E_form (kJ/mol of atoms): -20.3

---

Y6Ho8In | PBE | relaxed

a = 9.3147 Å, b = 9.3147 Å, c = 6.3361 Å
α = 90.00°, β = 90.00°, γ = 120.00°
Closest atoms and distances in Å follow each position.
Sites, in units of the cell vectors:
Y: 0.0924 0.4500 0.1800  1 Y 3.26, 5 Ho 3.33-3.58
Y: 0.3576 0.9076 0.1800  1 Y 3.26, 5 Ho 3.33-3.58
Y: 0.4500 0.3576 0.8200  1 Y 3.26, 5 Ho 3.33-3.58
Y: 0.5500 0.6424 0.1800  1 Y 3.26, 5 Ho 3.33-3.58
Y: 0.6424 0.0924 0.8200  1 Y 3.26, 5 Ho 3.33-3.58
Y: 0.9076 0.5500 0.8200  1 Y 3.26, 5 Ho 3.33-3.58
Ho: 0.0402 0.2664 0.6849  1 In 3.06, 3 Ho 3.30-3.34, 1 Y 3.33
Ho: 0.2262 0.9598 0.6849  1 In 3.06, 3 Ho 3.30-3.34, 1 Y 3.33
Ho: 0.2664 0.2262 0.3151  1 In 3.06, 3 Ho 3.30-3.34, 1 Y 3.33
Ho: 0.3333 0.6667 0.6832  3 Ho 3.34, 3 Y 3.65
Ho: 0.6667 0.3333 0.3168  3 Ho 3.34, 3 Y 3.65
Ho: 0.7336 0.7738 0.6849  1 In 3.06, 3 Ho 3.30-3.34, 1 Y 3.33
Ho: 0.7738 0.0402 0.3151  1 In 3.06, 3 Ho 3.30-3.34, 1 Y 3.33
Ho: 0.9598 0.7336 0.3151  1 In 3.06, 3 Ho 3.30-3.34, 1 Y 3.33
In: 0.0000 0.0000 0.0000  6 Ho 3.06

Output
D(E_F) (states/eV per atom): 1.240
E_form (kJ/mol of atoms): 8.0
Distance to the lowest polymorph of the same formula (meV/atom): 66

---

Y2HoIn3 | PBE | relaxed

a = 8.6063 Å, b = 8.6063 Å, c = 6.5147 Å
α = 102.57°, β = 102.57°, γ = 43.71°
Closest atoms and distances in Å follow each position.
Sites, in units of the cell vectors:
Y: 0.0566 0.2843 0.0874  6 In 3.11-3.45
Y: 0.2843 0.0566 0.5874  6 In 3.11-3.45
Y: 0.7157 0.9434 0.4126  6 In 3.11-3.45
Y: 0.9434 0.7157 0.9126  6 In 3.11-3.45
Ho: 0.3699 0.6301 0.2500  6 In 3.18-3.28, 2 Y 3.48
Ho: 0.6301 0.3699 0.7500  6 In 3.18-3.28, 2 Y 3.48
In: 0.1315 0.8685 0.7500  4 Y 3.15-3.45, 2 Ho 3.19-3.21, 2 In 3.30
In: 0.2200 0.4531 0.4488  4 Y 3.11-3.34, 2 Ho 3.18-3.28, 2 In 3.30-3.45
In: 0.4531 0.2200 0.9488  4 Y 3.11-3.34, 2 Ho 3.18-3.28, 2 In 3.30-3.45
In: 0.5469 0.7800 0.0512  4 Y 3.11-3.34, 2 Ho 3.18-3.28, 2 In 3.30-3.45
In: 0.7800 0.5469 0.5512  4 Y 3.11-3.34, 2 Ho 3.18-3.28, 2 In 3.30-3.45
In: 0.8685 0.1315 0.2500  4 Y 3.15-3.45, 2 Ho 3.19-3.21, 2 In 3.30

Output
D(E_F) (states/eV per atom): 0.668
E_form (kJ/mol of atoms): -41.2
Distance to the lowest polymorph of the same formula (meV/atom): 56

---

Y12Ho3In5 | PBE | relaxed

a = 15.8188 Å, b = 15.8188 Å, c = 15.8188 Å
α = 109.47°, β = 109.47°, γ = 109.47°
Closest atoms and distances in Å follow each position.
Sites, in units of the cell vectors:
Y: 0.0531 0.2205 0.1242  2 In 3.01-3.02, 1 Ho 3.25
Y: 0.0531 0.3326 0.9289  2 In 3.01-3.02, 1 Ho 3.25
Y: 0.0711 0.6242 0.4038  2 In 3.01-3.02, 1 Ho 3.25
Y: 0.0711 0.9469 0.6674  2 In 3.01-3.02, 1 Ho 3.25
Y: 0.0962 0.7205 0.6674  2 In 3.01-3.02, 1 Ho 3.25
Y: 0.0962 0.8758 0.4289  2 In 3.01-3.02, 1 Ho 3.25
Y: 0.1242 0.0531 0.2205  2 In 3.01-3.02, 1 Ho 3.25
Y: 0.1242 0.5711 0.9038  2 In 3.01-3.02, 1 Ho 3.25
Y: 0.1674 0.2205 0.5962  2 In 3.01-3.02, 1 Ho 3.25
Y: 0.1674 0.4469 0.5711  2 In 3.01-3.02, 1 Ho 3.25
Y: 0.2205 0.1242 0.0531  2 In 3.01-3.02, 1 Ho 3.25
Y: 0.2205 0.5962 0.1674  2 In 3.01-3.02, 1 Ho 3.25
Y: 0.2795 0.3326 0.9038  2 In 3.01-3.02, 1 Ho 3.25
Y: 0.2795 0.4469 0.3758  2 In 3.01-3.02, 1 Ho 3.25
Y: 0.3326 0.9038 0.2795  2 In 3.01-3.02, 1 Ho 3.25
Y: 0.3326 0.9289 0.0531  2 In 3.01-3.02, 1 Ho 3.25
Y: 0.3758 0.2795 0.4469  2 In 3.01-3.02, 1 Ho 3.25
Y: 0.3758 0.5962 0.9289  2 In 3.01-3.02, 1 Ho 3.25
Y: 0.4038 0.0711 0.6242  2 In 3.01-3.02, 1 Ho 3.25
Y: 0.4038 0.8326 0.7795  2 In 3.01-3.02, 1 Ho 3.25
Y: 0.4289 0.0962 0.8758  2 In 3.01-3.02, 1 Ho 3.25
Y: 0.4289 0.8326 0.5531  2 In 3.01-3.02, 1 Ho 3.25
Y: 0.4469 0.3758 0.2795  2 In 3.01-3.02, 1 Ho 3.25
Y: 0.4469 0.5711 0.1674  2 In 3.01-3.02, 1 Ho 3.25
Y: 0.5531 0.4289 0.8326  2 In 3.01-3.02, 1 Ho 3.25
Y: 0.5531 0.6242 0.7205  2 In 3.01-3.02, 1 Ho 3.25
Y: 0.5711 0.1674 0.4469  2 In 3.01-3.02, 1 Ho 3.25
Y: 0.5711 0.9038 0.1242  2 In 3.01-3.02, 1 Ho 3.25
Y: 0.5962 0.1674 0.2205  2 In 3.01-3.02, 1 Ho 3.25
Y: 0.5962 0.9289 0.3758  2 In 3.01-3.02, 1 Ho 3.25
Y: 0.6242 0.4038 0.0711  2 In 3.01-3.02, 1 Ho 3.25
Y: 0.6242 0.7205 0.5531  2 In 3.01-3.02, 1 Ho 3.25
Y: 0.6674 0.0711 0.9469  2 In 3.01-3.02, 1 Ho 3.25
Y: 0.6674 0.0962 0.7205  2 In 3.01-3.02, 1 Ho 3.25
Y: 0.7205 0.5531 0.6242  2 In 3.01-3.02, 1 Ho 3.25
Y: 0.7205 0.6674 0.0962  2 In 3.01-3.02, 1 Ho 3.25
Y: 0.7795 0.4038 0.8326  2 In 3.01-3.02, 1 Ho 3.25
Y: 0.7795 0.8758 0.9469  2 In 3.01-3.02, 1 Ho 3.25
Y: 0.8326 0.5531 0.4289  2 In 3.01-3.02, 1 Ho 3.25
Y: 0.8326 0.7795 0.4038  2 In 3.01-3.02, 1 Ho 3.25
Y: 0.8758 0.4289 0.0962  2 In 3.01-3.02, 1 Ho 3.25
Y: 0.8758 0.9469 0.7795  2 In 3.01-3.02, 1 Ho 3.25
Y: 0.9038 0.1242 0.5711  2 In 3.01-3.02, 1 Ho 3.25
Y: 0.9038 0.2795 0.3326  2 In 3.01-3.02, 1 Ho 3.25
Y: 0.9289 0.0531 0.3326  2 In 3.01-3.02, 1 Ho 3.25
Y: 0.9289 0.3758 0.5962  2 In 3.01-3.02, 1 Ho 3.25
Y: 0.9469 0.6674 0.0711  2 In 3.01-3.02, 1 Ho 3.25
Y: 0.9469 0.7795 0.8758  2 In 3.01-3.02, 1 Ho 3.25
Ho: 0.1250 0.2500 0.3750  8 Y 3.25-3.56
Ho: 0.1250 0.3750 0.7500  8 Y 3.25-3.56
Ho: 0.2500 0.3750 0.1250  8 Y 3.25-3.56
Ho: 0.2500 0.8750 0.6250  8 Y 3.25-3.56
Ho: 0.3750 0.1250 0.2500  8 Y 3.25-3.56
Ho: 0.3750 0.7500 0.1250  8 Y 3.25-3.56
Ho: 0.6250 0.2500 0.8750  8 Y 3.25-3.56
Ho: 0.6250 0.8750 0.7500  8 Y 3.25-3.56
Ho: 0.7500 0.1250 0.3750  8 Y 3.25-3.56
Ho: 0.7500 0.6250 0.8750  8 Y 3.25-3.56
Ho: 0.8750 0.6250 0.2500  8 Y 3.25-3.56
Ho: 0.8750 0.7500 0.6250  8 Y 3.25-3.56
In: 0.0000 0.0000 0.0000  6 Y 3.02
In: 0.0000 0.0000 0.5000  6 Y 3.02
In: 0.0000 0.5000 0.0000  6 Y 3.02
In: 0.0000 0.5000 0.5000  6 Y 3.02
In: 0.1250 0.7500 0.8750  4 Y 3.01
In: 0.1250 0.8750 0.2500  4 Y 3.01
In: 0.2500 0.1250 0.8750  4 Y 3.01
In: 0.2500 0.6250 0.3750  4 Y 3.01
In: 0.3750 0.2500 0.6250  4 Y 3.01
In: 0.3750 0.6250 0.7500  4 Y 3.01
In: 0.5000 0.0000 0.0000  6 Y 3.02
In: 0.5000 0.0000 0.5000  6 Y 3.02
In: 0.5000 0.5000 0.0000  6 Y 3.02
In: 0.5000 0.5000 0.5000  6 Y 3.02
In: 0.6250 0.3750 0.2500  4 Y 3.01
In: 0.6250 0.7500 0.3750  4 Y 3.01
In: 0.7500 0.3750 0.6250  4 Y 3.01
In: 0.7500 0.8750 0.1250  4 Y 3.01
In: 0.8750 0.1250 0.7500  4 Y 3.01
In: 0.8750 0.2500 0.1250  4 Y 3.01

Output
D(E_F) (states/eV per atom): 2.090
E_form (kJ/mol of atoms): 50.6

---

YHo2In3 | PBE | relaxed

a = 3.5543 Å, b = 3.5543 Å, c = 12.4973 Å
α = 90.00°, β = 90.00°, γ = 90.00°
Closest atoms and distances in Å follow each position.
Sites, in units of the cell vectors:
Y: 0.0000 0.0000 0.0000  8 In 3.27, 4 Y 3.55
Ho: 0.0000 0.0000 0.3340  8 In 3.26, 4 Ho 3.55
Ho: 0.0000 0.0000 0.6660  8 In 3.26, 4 Ho 3.55
In: 0.5000 0.5000 0.1680  4 Ho 3.26, 4 Y 3.27, 4 In 3.55
In: 0.5000 0.5000 0.5000  8 Ho 3.26, 4 In 3.55
In: 0.5000 0.5000 0.8320  4 Ho 3.26, 4 Y 3.27, 4 In 3.55

Output
D(E_F) (states/eV per atom): 0.581
E_form (kJ/mol of atoms): -45.3

---

Y2Ho2In | PBE | relaxed

a = 6.6019 Å, b = 6.6019 Å, c = 9.3793 Å
α = 103.84°, β = 103.84°, γ = 48.55°
Closest atoms and distances in Å follow each position.
Sites, in units of the cell vectors:
Y: 0.0252 0.0252 0.3414  4 Ho 3.18-3.47, 2 Y 3.19-3.48, 1 In 3.20
Y: 0.1557 0.1557 0.0510  3 In 3.33, 3 Ho 3.48-3.73, 2 Y 3.48-3.62
Y: 0.8443 0.8443 0.9490  3 In 3.33, 3 Ho 3.48-3.73, 2 Y 3.48-3.62
Y: 0.9748 0.9748 0.6586  4 Ho 3.18-3.47, 2 Y 3.19-3.48, 1 In 3.20
Ho: 0.3467 0.3467 0.4477  3 In 3.31, 2 Ho 3.47-3.56, 2 Y 3.47
Ho: 0.4766 0.4766 0.1587  2 Ho 3.17-3.47, 1 In 3.18, 4 Y 3.18-3.48
Ho: 0.5234 0.5234 0.8413  2 Ho 3.17-3.47, 1 In 3.18, 4 Y 3.18-3.48
Ho: 0.6533 0.6533 0.5523  3 In 3.31, 2 Ho 3.47-3.56, 2 Y 3.47
In: 0.2500 0.2500 0.7472  4 Ho 3.18-3.31, 4 Y 3.20-3.33
In: 0.7500 0.7500 0.2528  4 Ho 3.18-3.31, 4 Y 3.20-3.33

Output
D(E_F) (states/eV per atom): 0.744
E_form (kJ/mol of atoms): -17.6
Distance to the lowest polymorph of the same formula (meV/atom): 0

---

Y2Ho3In4 | PBE | relaxed

a = 5.2560 Å, b = 5.2560 Å, c = 10.2336 Å
α = 90.06°, β = 90.06°, γ = 60.04°
Closest atoms and distances in Å follow each position.
Sites, in units of the cell vectors:
Y: 0.1669 0.1669 0.2765  7 In 3.28-3.32, 4 Ho 3.59-3.67
Y: 0.8331 0.8331 0.7235  7 In 3.28-3.32, 4 Ho 3.59-3.67
Ho: 0.1665 0.1665 0.9256  4 In 3.14-3.32, 3 Ho 3.39-3.40
Ho: 0.5000 0.5000 0.5000  8 In 3.21-3.54
Ho: 0.8335 0.8335 0.0744  4 In 3.14-3.32, 3 Ho 3.39-3.40
In: 0.1665 0.1665 0.6009  4 Ho 3.21-3.32, 4 Y 3.28-3.32
In: 0.5002 0.5002 0.1544  3 Ho 3.14, 1 In 3.16, 3 Y 3.28
In: 0.4998 0.4998 0.8456  3 Ho 3.14, 1 In 3.16, 3 Y 3.28
In: 0.8335 0.8335 0.3991  4 Ho 3.21-3.32, 4 Y 3.28-3.32

Output
D(E_F) (states/eV per atom): 0.850
E_form (kJ/mol of atoms): -40.9
Distance to the lowest polymorph of the same formula (meV/atom): 0

---

YHo2In2 | PBE | relaxed

a = 3.7410 Å, b = 5.3248 Å, c = 13.9538 Å
α = 90.00°, β = 97.72°, γ = 90.00°
Closest atoms and distances in Å follow each position.
Sites, in units of the cell vectors:
Y: 0.1481 0.2500 0.2977  6 In 3.26-3.32, 2 Ho 3.61
Y: 0.8519 0.7500 0.7023  6 In 3.26-3.32, 2 Ho 3.61
Ho: 0.0479 0.7500 0.0958  8 In 3.24-3.28
Ho: 0.2371 0.7500 0.4742  2 In 3.19, 4 Ho 3.33
Ho: 0.7629 0.2500 0.5258  2 In 3.19, 4 Ho 3.33
Ho: 0.9521 0.2500 0.9042  8 In 3.24-3.28
In: 0.3571 0.2500 0.7128  4 Ho 3.19-3.24, 4 Y 3.26
In: 0.4503 0.7500 0.9008  6 Ho 3.25-3.28, 2 Y 3.32
In: 0.5497 0.2500 0.0992  6 Ho 3.25-3.28, 2 Y 3.32
In: 0.6429 0.7500 0.2872  4 Ho 3.19-3.24, 4 Y 3.26

Output
D(E_F) (states/eV per atom): 0.828
E_form (kJ/mol of atoms): -37.5
Distance to the lowest polymorph of the same formula (meV/atom): 0

---

Y3Ho6In | PBE | relaxed

a = 9.6299 Å, b = 5.5378 Å, c = 12.3448 Å
α = 90.00°, β = 110.57°, γ = 90.00°
Closest atoms and distances in Å follow each position.
Sites, in units of the cell vectors:
Y: 0.0243 0.2500 0.3726  9 Ho 3.41-3.62, 2 Y 3.56
Y: 0.1009 0.7500 0.2213  8 Ho 3.35-3.62, 3 Y 3.56
Y: 0.2730 0.2500 0.9739  11 Ho 3.45-3.81, 1 Y 3.56
Y: 0.7270 0.7500 0.0261  11 Ho 3.45-3.81, 1 Y 3.56
Y: 0.8991 0.2500 0.7787  8 Ho 3.35-3.62, 3 Y 3.56
Y: 0.9757 0.7500 0.6274  9 Ho 3.41-3.62, 2 Y 3.56
Ho: 0.0391 0.7500 0.9299  7 Y 3.35-3.60, 4 Ho 3.49-3.72
Ho: 0.1947 0.2500 0.6705  1 In 3.17, 2 Ho 3.39, 5 Y 3.41-3.55
Ho: 0.2623 0.7500 0.5124  3 In 3.21-3.34, 2 Y 3.38-3.52, 2 Ho 3.58
Ho: 0.3461 0.2500 0.2983  3 In 3.30-3.34, 3 Y 3.53-3.54, 3 Ho 3.63-3.67
Ho: 0.3481 0.7500 0.8254  8 Ho 3.39-3.76, 4 Y 3.53-3.62
Ho: 0.4264 0.7500 0.1394  1 In 3.20, 2 Y 3.45, 3 Ho 3.45-3.58
Ho: 0.5736 0.2500 0.8606  1 In 3.20, 2 Y 3.45, 3 Ho 3.45-3.58
Ho: 0.6519 0.2500 0.1746  8 Ho 3.39-3.76, 4 Y 3.53-3.62
Ho: 0.6539 0.7500 0.7017  3 In 3.30-3.34, 3 Y 3.53-3.54, 3 Ho 3.63-3.67
Ho: 0.7377 0.2500 0.4876  3 In 3.21-3.34, 2 Y 3.38-3.52, 2 Ho 3.58
Ho: 0.8053 0.7500 0.3295  1 In 3.17, 2 Ho 3.39, 5 Y 3.41-3.55
Ho: 0.9609 0.2500 0.0701  7 Y 3.35-3.60, 4 Ho 3.49-3.72
In: 0.4684 0.2500 0.5838  8 Ho 3.17-3.34
In: 0.5316 0.7500 0.4162  8 Ho 3.17-3.34

Output
D(E_F) (states/eV per atom): 1.518
E_form (kJ/mol of atoms): -6.9
Distance to the lowest polymorph of the same formula (meV/atom): 0

---

| no. | mass density (Mg/m³) |
| --- | --- |
| 1 | 7.185 |
| 2 | 6.863 |
| 3 | 7.041 |
| 4 | 4.655 |
| 5 | 8.028 |
| 6 | 6.992 |
| 7 | 7.673 |
| 8 | 7.818 |
| 9 | 7.388 |